1.
In3Ga4Pd4, optimized geometry, DFT PBE-GGA; space group = Immm (71); E_form = -0.39 eV/atom; DOS at the Fermi energy = 3.09 states/eV/cell; magnetic moment = 0.00 μB/f.u.
1.0
-1.582 4.243 7.499
1.582 -4.243 7.499
1.582 4.243 -7.499
In Ga Pd
3 4 4
Direct
0.000 0.000 0.000
0.402 0.902 0.500
0.598 0.098 0.500
0.027 0.329 0.698
0.369 0.671 0.698
0.631 0.329 0.302
0.973 0.671 0.302
0.251 0.251 0.000
0.269 0.500 0.769
0.731 0.500 0.231
0.749 0.749 0.000

---

2.
LaScMo4, optimized geometry, DFT PBE-GGA; space group = F-43m (216); E_form = 0.18 eV/atom; DOS at the Fermi energy = 5.78 states/eV/cell; magnetic moment = 0.00 μB/f.u.
1.0
0.000 3.889 3.889
3.889 0.000 3.889
3.889 3.889 0.000
La Sc Mo
1 1 4
Direct
0.000 0.000 0.000
0.250 0.250 0.250
0.125 0.625 0.625
0.625 0.125 0.625
0.625 0.625 0.125
0.625 0.625 0.625

---

3.
Ca2Ge2Se, optimized geometry, DFT PBE-GGA; energy above the most stable polymorph in this dataset = 279 meV per atom; space group = I4/mmm (139); DOS at the Fermi energy = 3.29 states/eV/cell; formation energy (no corrections) = -0.43 eV/atom; magnetic moment = 0.00 μB/f.u.
1.0
-2.919 2.919 3.960
2.919 -2.919 3.960
2.919 2.919 -3.960
Ca Ge Se
2 2 1
Direct
0.250 0.750 0.500
0.750 0.250 0.500
0.152 0.152 0.000
0.848 0.848 0.000
0.500 0.500 0.000

---

4.
Na2NbTlSe4, optimized geometry, DFT PBE-GGA; space group = Fmm2 (42); formation energy (no corrections) = -0.84 eV/atom; magnetic moment = 0.00 μB/f.u.
1.0
0.000 5.397 4.089
5.155 0.000 4.089
5.155 5.397 0.000
Na Nb Tl Se
2 1 1 4
Direct
0.000 0.000 0.500
0.500 0.500 0.000
0.034 0.034 0.966
0.536 0.536 0.464
0.015 0.388 0.612
0.044 0.667 0.956
0.388 0.015 0.985
0.667 0.044 0.333